# 1
VASP calculation (PBE) on a relaxed structure of K3AuIBr.

abc: 8.5458 4.7072 12.5203
angles: 90.00 95.20 90.00
Space group P2_1/m (No. 11)
Inequivalent atoms, fractional coordinates:
K 0.1774 0.2500 0.2132
K 0.2475 0.7500 0.5512
K 0.2660 0.2500 0.8738
Au 0.0991 0.7500 0.0063
I 0.4724 0.7500 0.3229
Br 0.0250 0.2500 0.6554

Results
E_form (uncorrected) in eV/f.u.: -6.8
Uncorrected energy in eV/atom: -2.764
Theoretical density in Mg/m³: 3.5
V in Å³ per atom: 41.80
Magnetization in μB/cell: 0.0

# 2
VASP calculation (PBE) on a relaxed structure of K6AuI3Br2.

abc: 8.5229 14.7639 8.5015
angles: 90.00 109.54 90.00
Space group C2/m (No. 12)
Inequivalent atoms, fractional coordinates:
K 0.2403 0.0000 0.2354
K 0.2477 0.3308 0.2356
Au 0.0000 0.5000 0.0000
I 0.0000 0.0000 0.5000
I 0.0000 0.3349 0.5000
Br 0.0000 0.1667 0.0000

Results
E_form (uncorrected) in eV/f.u.: -16.3
Uncorrected energy in eV/atom: -2.849
Theoretical density in Mg/m³: 3.2
V in Å³ per atom: 42.00
Fermi-level density of states in states/eV per atom: 0.0000
Magnetization in μB/cell: 0.0